1.
A relaxed CaNd2TmAs4 crystal. Source: Alexandria, functional PBE.

Unit cell a=7.254 b=4.219 c=7.342 alpha=90.00 beta=109.58 gamma=90.00
Fractional positions:
Ca 0.000 0.000 0.000
Nd 0.500 0.000 0.500
Nd 0.500 0.500 0.000
Tm 0.000 0.500 0.500
As 0.241 0.000 0.741
As 0.246 0.500 0.255
As 0.754 0.500 0.745
As 0.759 0.000 0.259

Formation energy from the elements: -129 kJ per mole of atoms
SG: No. 10
M_tot: 0.000 μB/cell

***

2.
A relaxed LaPr2Ho5 crystal. Source: Alexandria, functional PBE.

Unit cell a=7.188 b=14.398 c=5.107 alpha=90.00 beta=90.00 gamma=90.00
Fractional positions:
La 0.000 0.000 0.000
La 0.500 0.500 0.000
Pr 0.245 0.374 0.500
Pr 0.255 0.874 0.500
Pr 0.745 0.126 0.500
Pr 0.755 0.626 0.500
Ho 0.000 0.500 0.000
Ho 0.006 0.748 0.000
Ho 0.246 0.126 0.500
Ho 0.254 0.626 0.500
Ho 0.494 0.248 0.000
Ho 0.500 0.000 0.000
Ho 0.506 0.752 0.000
Ho 0.746 0.374 0.500
Ho 0.754 0.874 0.500
Ho 0.994 0.252 0.000

Formation energy from the elements: 2 kJ per mole of atoms
SG: No. 55
M_tot: 0.000 μB/cell

***

3.
A relaxed ReAsOF2 crystal. Source: Alexandria, functional PBE.

Unit cell a=4.455 b=4.455 c=3.972 alpha=90.00 beta=90.00 gamma=90.00
Fractional positions:
Re 0.000 0.000 0.000
As 0.500 0.500 0.500
O 0.500 0.500 0.000
F 0.000 0.500 0.500
F 0.500 0.000 0.500

E_form (uncorrected): 0.10 eV/atom
SG: No. 123
M_tot: 5.882 μB/cell